Entry 1:
Computed, not measured: crystalline Nd2DyYTe6 at its relaxed geometry at the GGA-PBE level of DFT.

The value obtained for the calculated density is 5.7 g/cm³. As for the formation energy from raw total energies: -13.77 eV/f.u. The total energy comes out at -53.2 eV/cell. Its space-group type is R3 (146).

Structure (POSCAR):
```
Nd2DyYTe6
1.0
7.8412 0.0000 0.0001
3.9206 6.7906 -0.0002
3.9202 2.2636 7.0873
Nd Dy Y Te
2 1 1 6
Direct
0.5134 0.5134 0.4600
0.0133 0.0134 0.9600
0.3236 0.3236 0.0291
0.8236 0.8236 0.5291
0.5962 0.2161 0.2560
0.2161 0.9317 0.2560
0.9318 0.5962 0.2560
0.4314 0.7156 0.7564
0.7156 0.0966 0.7564
0.0966 0.4314 0.7563
```

***

Entry 2:
Computed, not measured: crystalline Nd8Dy4Th at its relaxed geometry at the GGA-PBE level of DFT.

The value obtained for the energy relative to the elements is 0.430 eV/atom. The value obtained for the calculated density is 7.1 g/cm³. The calculation puts the density of states at the Fermi level at 25.49 states/eV/cell. The total energy comes out at -58.4 eV/cell. Its space-group type is R-3m (166).

Structure (POSCAR):
```
Nd8Dy4Th
1.0
-6.2761 -0.2054 9.9993
-5.1807 -2.6373 -10.2773
6.8364 -2.7628 -2.7372
Nd Dy Th
8 4 1
Direct
0.5182 0.7591 0.2774
0.4818 0.2409 0.7226
0.3404 0.1702 0.0098
0.1604 0.3306 0.9902
0.6596 0.8298 0.9902
0.1604 0.8298 0.9902
0.8396 0.1702 0.0098
0.8396 0.6694 0.0098
0.0000 0.0000 0.0000
0.0000 0.5000 0.0000
0.5000 0.5000 0.0000
0.5000 0.0000 0.0000
0.0000 0.5000 0.5000
```

***

Entry 3:
Computed, not measured: crystalline NdDy6Th2 at its relaxed geometry at the GGA-PBE level of DFT.

The value obtained for the energy relative to the elements is 0.077 eV/atom. The value obtained for the calculated density is 9.0 g/cm³. The calculation puts the density of states at the Fermi level at 18.40 states/eV/cell. The total energy comes out at -46.5 eV/cell. Its space-group type is P-6m2 (187).

Structure (POSCAR):
```
NdDy6Th2
1.0
-1.7987 3.0501 -0.4806
0.0522 -2.4694 -2.5824
-21.6805 -11.1709 10.2441
Nd Dy Th
1 6 2
Direct
0.3333 0.6667 0.0000
0.6667 0.3333 0.8878
0.3333 0.6667 0.4371
0.3333 0.6667 0.7809
0.3333 0.6667 0.2191
0.3333 0.6667 0.5629
0.6667 0.3333 0.1122
0.6667 0.3333 0.3305
0.6667 0.3333 0.6695
```

***

Entry 4:
Computed, not measured: crystalline Nd4Dy2Th3 at its relaxed geometry at the GGA-PBE level of DFT.

The value obtained for the energy relative to the elements is 0.053 eV/atom. The value obtained for the calculated density is 8.8 g/cm³. The calculation puts the density of states at the Fermi level at 14.20 states/eV/cell. The total energy comes out at -50.1 eV/cell. Its space-group type is C2/m (12).

Structure (POSCAR):
```
Nd4Dy2Th3
1.0
3.6266 0.0000 0.0000
-1.8133 7.8679 0.0519
0.0000 2.5262 10.5445
Nd Dy Th
4 2 3
Direct
0.6621 0.3242 0.1144
0.0039 0.0078 0.6620
0.9961 0.9922 0.3380
0.3379 0.6758 0.8856
0.3358 0.6716 0.2213
0.6642 0.3284 0.7787
0.3269 0.6538 0.5580
0.0000 0.0000 0.0000
0.6731 0.3462 0.4420
```

***

Entry 5:
Computed, not measured: crystalline Nd3Dy5Th at its relaxed geometry at the GGA-PBE level of DFT.

The value obtained for the energy relative to the elements is 0.285 eV/atom. The value obtained for the calculated density is 8.2 g/cm³. The calculation puts the density of states at the Fermi level at 23.27 states/eV/cell. The total energy comes out at -84.3 eV/cell. Its space-group type is I4/mcm (140).

Structure (POSCAR):
```
Nd3Dy5Th
1.0
-3.2185 -1.8333 7.9511
7.7638 -3.3181 2.3776
-0.0502 9.5772 -2.6504
Nd Dy Th
6 10 2
Direct
0.6162 0.1162 0.0000
0.3838 0.8838 0.0000
0.8838 0.6162 0.0000
0.1162 0.3838 0.0000
0.2500 0.2500 0.5000
0.7500 0.7500 0.5000
0.0742 0.5742 0.7250
0.6507 0.1507 0.7250
0.1507 0.0742 0.7250
0.5742 0.6507 0.7250
0.9258 0.4258 0.2750
0.3493 0.8493 0.2750
0.8493 0.9258 0.2750
0.4258 0.3493 0.2750
0.5000 0.5000 0.0000
0.0000 0.0000 0.0000
0.7500 0.2500 0.5000
0.2500 0.7500 0.5000
```

***

Entry 6:
Computed, not measured: crystalline Nd2DyTh at its relaxed geometry at the GGA-PBE level of DFT.

The value obtained for the energy relative to the elements is 0.208 eV/atom. The value obtained for the calculated density is 8.4 g/cm³. The calculation puts the density of states at the Fermi level at 11.26 states/eV/cell. The total energy comes out at -20.7 eV/cell. Its space-group type is Fm-3m (225).

Structure (POSCAR):
```
Nd2DyTh
1.0
-0.6368 5.6525 0.8514
-2.8216 1.9105 4.6336
2.8739 2.6109 4.2432
Nd Th Dy
2 1 1
Direct
0.2500 0.2500 0.2500
0.7500 0.7500 0.7500
0.5000 0.5000 0.5000
0.0000 0.0000 0.0000
```

***

Entry 7:
Computed, not measured: crystalline NdDy8Th2 at its relaxed geometry at the GGA-PBE level of DFT.

The value obtained for the energy relative to the elements is 0.199 eV/atom. The value obtained for the calculated density is 8.8 g/cm³. The calculation puts the density of states at the Fermi level at 14.82 states/eV/cell. The total energy comes out at -54.2 eV/cell. Its space-group type is P-1 (2).

Structure (POSCAR):
```
NdDy8Th2
1.0
-5.4592 -2.3774 0.2000
3.3956 -5.6531 -3.7188
2.8240 0.4809 8.7820
Nd Dy Th
1 8 2
Direct
0.5000 0.0000 0.0000
0.1577 0.3369 0.2364
0.9220 0.1003 0.7636
0.7197 0.4265 0.9994
0.7085 0.2089 0.4182
0.2915 0.7911 0.5818
0.2803 0.5735 0.0006
0.0780 0.8997 0.2364
0.8423 0.6631 0.7636
0.6940 0.6932 0.3867
0.3060 0.3068 0.6133
```

***

Entry 8:
Computed, not measured: crystalline Nd5Dy2Th3 at its relaxed geometry at the GGA-PBE level of DFT.

The value obtained for the energy relative to the elements is 0.052 eV/atom. The value obtained for the calculated density is 8.6 g/cm³. The calculation puts the density of states at the Fermi level at 13.83 states/eV/cell. The total energy comes out at -54.8 eV/cell. Its space-group type is C2/m (12).

Structure (POSCAR):
```
Nd5Dy2Th3
1.0
4.9771 0.0000 1.1044
1.8609 4.9599 3.3806
-0.2779 -0.8415 13.0191
Nd Dy Th
5 2 3
Direct
0.0000 0.0000 0.0000
0.1991 0.0028 0.5989
0.8009 0.9972 0.4011
0.6983 0.4999 0.1034
0.3017 0.5001 0.8966
0.4019 0.9900 0.2062
0.5981 0.0100 0.7938
0.5000 0.5000 0.5000
0.0973 0.5034 0.3021
0.9027 0.4966 0.6979
```

***

Entry 9:
Computed, not measured: crystalline Nd4DyTh at its relaxed geometry at the GGA-PBE level of DFT.

The value obtained for the energy relative to the elements is 0.243 eV/atom. The value obtained for the calculated density is 7.8 g/cm³. The calculation puts the density of states at the Fermi level at 25.36 states/eV/cell. The total energy comes out at -59.3 eV/cell. Its space-group type is Cmcm (63).

Structure (POSCAR):
```
Nd4DyTh
1.0
6.5208 -0.4234 0.0000
-2.8397 5.8852 0.0000
0.0000 0.0000 11.1666
Nd Dy Th
8 2 2
Direct
0.6734 0.3266 0.9382
0.3266 0.6734 0.4382
0.3266 0.6734 0.0618
0.6734 0.3266 0.5618
0.3351 0.1740 0.2500
0.6649 0.8260 0.7500
0.1740 0.3351 0.7500
0.8260 0.6649 0.2500
0.1711 0.8289 0.7500
0.8289 0.1711 0.2500
0.0000 0.0000 0.0000
0.0000 0.0000 0.5000
```

***

Entry 10:
Computed, not measured: crystalline Nd7Dy2Th2 at its relaxed geometry at the GGA-PBE level of DFT.

The value obtained for the energy relative to the elements is 0.181 eV/atom. The value obtained for the calculated density is 7.9 g/cm³. The calculation puts the density of states at the Fermi level at 15.27 states/eV/cell. The total energy comes out at -55.4 eV/cell. Its space-group type is C2/m (12).

Structure (POSCAR):
```
Nd7Dy2Th2
1.0
-3.1964 8.1931 0.2957
-4.0215 -4.4842 0.9133
-1.5179 -2.1973 8.3845
Nd Dy Th
7 2 2
Direct
0.4090 0.1905 0.0414
0.0414 0.8095 0.4090
0.5910 0.8095 0.9586
0.9586 0.1905 0.5910
0.5689 0.3412 0.4311
0.0000 0.0000 0.0000
0.4311 0.6588 0.5689
0.2241 0.8471 0.7759
0.7759 0.1529 0.2241
0.7862 0.5000 0.7862
0.2138 0.5000 0.2138
```

***

Entry 11:
Computed, not measured: crystalline Nd5Dy6Th at its relaxed geometry at the GGA-PBE level of DFT.

The value obtained for the energy relative to the elements is 0.023 eV/atom. The value obtained for the calculated density is 8.1 g/cm³. The calculation puts the density of states at the Fermi level at 14.46 states/eV/cell. The total energy comes out at -58.6 eV/cell. Its space-group type is C2/m (12).

Structure (POSCAR):
```
Nd5Dy6Th
1.0
-4.5962 -1.7088 -3.8980
-0.6070 -5.9983 -1.6881
-8.5631 -2.4190 7.8089
Nd Th Dy
5 1 6
Direct
0.1670 0.6659 0.5000
0.3333 0.3334 0.0000
0.5000 0.0000 0.5000
0.6667 0.6666 0.0000
0.8330 0.3341 0.5000
0.0000 0.0000 0.0000
0.5879 0.3294 0.2480
0.0827 0.3294 0.7520
0.7536 0.0000 0.7521
0.2464 0.0000 0.2479
0.9173 0.6706 0.2480
0.4121 0.6706 0.7520
```

***

Entry 12:
Computed, not measured: crystalline Nd3Dy4Th at its relaxed geometry at the GGA-PBE level of DFT.

The value obtained for the energy relative to the elements is 0.144 eV/atom. The value obtained for the calculated density is 8.2 g/cm³. The calculation puts the density of states at the Fermi level at 11.88 states/eV/cell. The total energy comes out at -39.0 eV/cell. Its space-group type is Immm (71).

Structure (POSCAR):
```
Nd3Dy4Th
1.0
3.3344 0.0000 0.8638
1.1505 8.5750 2.4263
-0.5300 -1.0092 8.9131
Nd Th Dy
3 1 4
Direct
0.7684 0.2316 0.2316
0.2316 0.7684 0.7684
0.0000 0.5000 0.5000
0.5000 0.0000 0.0000
0.6332 0.1188 0.6149
0.3668 0.8812 0.3851
0.3668 0.3851 0.8812
0.6332 0.6149 0.1188
```